Record 1
A plane-wave DFT calculation with PBE-GGA was carried out for NaH8Rh4 after structural relaxation.

Geometry as CIF:
```
data_NaH8Rh4
_symmetry_space_group_name_H-M 'P -1'
_symmetry_Int_Tables_number 2
_symmetry_space_group_name_Hall '-P 1'
_cell_length_a 5.529
_cell_length_b 5.575
_cell_length_c 5.575
_cell_angle_alpha 60.03
_cell_angle_beta 75.57
_cell_angle_gamma 76.19
loop_
_atom_site_label
_atom_site_type_symbol
_atom_site_fract_x
_atom_site_fract_y
_atom_site_fract_z
Na1 Na 0.000 0.000 0.000
H1 H 0.331 0.609 0.613
H2 H 0.337 0.604 0.113
H3 H 0.338 0.110 0.607
H4 H 0.339 0.110 0.113
Rh1 Rh 0.496 0.750 0.750
Rh2 Rh 0.500 0.251 0.749
```

Summary:
electronic total energy: -4.53 eV/atom

***

Record 2
A plane-wave DFT calculation with PBE-GGA was carried out for RbSrTa2Pt after structural relaxation.

Geometry as CIF:
```
data_RbSrTa2Pt
_symmetry_space_group_name_H-M 'P 4/m m m'
_symmetry_Int_Tables_number 123
_symmetry_space_group_name_Hall '-P 4 2'
_cell_length_a 5.365
_cell_length_b 5.365
_cell_length_c 5.471
_cell_angle_alpha 90.00
_cell_angle_beta 90.00
_cell_angle_gamma 90.00
loop_
_atom_site_label
_atom_site_type_symbol
_atom_site_fract_x
_atom_site_fract_y
_atom_site_fract_z
Rb1 Rb 0.000 0.000 0.000
Sr1 Sr 0.500 0.500 0.500
Ta1 Ta 0.000 0.500 0.500
Pt1 Pt 0.500 0.500 0.000
```

Summary:
ΔE to the lowest computed polymorph: 0.0 kJ/mol of formula units
formation energy: 2459.3 meV/atom

***

Record 3
A plane-wave DFT calculation with PBE-GGA was carried out for LiErPaRh after structural relaxation.

Geometry as CIF:
```
data_LiErPaRh
_symmetry_space_group_name_H-M 'F -4 3 m'
_symmetry_Int_Tables_number 216
_symmetry_space_group_name_Hall 'F -4 2 3'
_cell_length_a 6.935
_cell_length_b 6.935
_cell_length_c 6.935
_cell_angle_alpha 90.00
_cell_angle_beta 90.00
_cell_angle_gamma 90.00
loop_
_atom_site_label
_atom_site_type_symbol
_atom_site_fract_x
_atom_site_fract_y
_atom_site_fract_z
Li1 Li 0.000 0.000 0.000
Er1 Er 0.250 0.250 0.250
Pa1 Pa 0.250 0.250 0.750
Rh1 Rh 0.000 0.000 0.500
```

Summary:
formation energy: -178.8 meV/atom

***

Record 4
A plane-wave DFT calculation with PBE-GGA was carried out for MnTlCu2Te4 after structural relaxation.

Geometry as CIF:
```
data_MnTlCu2Te4
_symmetry_space_group_name_H-M 'I -4 2 m'
_symmetry_Int_Tables_number 121
_symmetry_space_group_name_Hall 'I -4 2'
_cell_length_a 6.235
_cell_length_b 6.235
_cell_length_c 12.247
_cell_angle_alpha 90.00
_cell_angle_beta 90.00
_cell_angle_gamma 90.00
loop_
_atom_site_label
_atom_site_type_symbol
_atom_site_fract_x
_atom_site_fract_y
_atom_site_fract_z
Mn1 Mn 0.000 0.000 0.000
Tl1 Tl 0.000 0.000 0.500
Cu1 Cu 0.000 0.500 0.250
Te1 Te 0.229 0.229 0.860
```

Summary:
ΔE_f (raw): -0.90 eV/f.u.

***

Record 5
A plane-wave DFT calculation with PBE-GGA was carried out for AcGa2Ge after structural relaxation.

Geometry as CIF:
```
data_AcGa2Ge
_symmetry_space_group_name_H-M 'C m m m'
_symmetry_Int_Tables_number 65
_symmetry_space_group_name_Hall '-C 2 2'
_cell_length_a 5.092
_cell_length_b 9.544
_cell_length_c 4.323
_cell_angle_alpha 90.00
_cell_angle_beta 90.00
_cell_angle_gamma 90.00
loop_
_atom_site_label
_atom_site_type_symbol
_atom_site_fract_x
_atom_site_fract_y
_atom_site_fract_z
Ac1 Ac 0.000 0.000 0.000
Ga1 Ga 0.250 0.250 0.500
Ge1 Ge 0.000 0.500 0.500
```

Summary:
ΔE to the lowest computed polymorph: 17.0 kJ/mol of formula units
formation energy: -322.3 meV/atom

***

Record 6
A plane-wave DFT calculation with PBE-GGA was carried out for Li2ZrHg after structural relaxation.

Geometry as CIF:
```
data_Li2ZrHg
_symmetry_space_group_name_H-M 'I m m 2'
_symmetry_Int_Tables_number 44
_symmetry_space_group_name_Hall 'I 2 -2'
_cell_length_a 4.714
_cell_length_b 4.722
_cell_length_c 6.662
_cell_angle_alpha 90.00
_cell_angle_beta 90.00
_cell_angle_gamma 90.00
loop_
_atom_site_label
_atom_site_type_symbol
_atom_site_fract_x
_atom_site_fract_y
_atom_site_fract_z
Li1 Li 0.000 0.000 0.000
Li2 Li 0.000 0.500 0.251
Zr1 Zr 0.000 0.000 0.500
Hg1 Hg 0.000 0.500 0.750
```

Summary:
formation energy: -62.5 meV/atom

***

Record 7
A plane-wave DFT calculation with PBE-GGA was carried out for Sc2AsPb after structural relaxation.

Geometry as CIF:
```
data_Sc2AsPb
_symmetry_space_group_name_H-M 'P m m m'
_symmetry_Int_Tables_number 47
_symmetry_space_group_name_Hall '-P 2 2'
_cell_length_a 3.918
_cell_length_b 4.211
_cell_length_c 5.455
_cell_angle_alpha 90.00
_cell_angle_beta 90.00
_cell_angle_gamma 90.00
loop_
_atom_site_label
_atom_site_type_symbol
_atom_site_fract_x
_atom_site_fract_y
_atom_site_fract_z
Sc1 Sc 0.000 0.000 0.000
Sc2 Sc 0.000 0.500 0.500
As1 As 0.500 0.000 0.500
Pb1 Pb 0.500 0.500 0.000
```

Summary:
ΔE to the lowest computed polymorph: 122.9 kJ/mol of formula units
formation energy: -559.2 meV/atom

***

Record 8
A plane-wave DFT calculation with PBE-GGA was carried out for Al2Co2Ru after structural relaxation.

Geometry as CIF:
```
data_Al2Co2Ru
_symmetry_space_group_name_H-M 'P 4/m b m'
_symmetry_Int_Tables_number 127
_symmetry_space_group_name_Hall '-P 4 2ab'
_cell_length_a 6.811
_cell_length_b 6.811
_cell_length_c 2.679
_cell_angle_alpha 90.00
_cell_angle_beta 90.00
_cell_angle_gamma 90.00
loop_
_atom_site_label
_atom_site_type_symbol
_atom_site_fract_x
_atom_site_fract_y
_atom_site_fract_z
Al1 Al 0.139 0.361 0.000
Co1 Co 0.160 0.660 0.500
Ru1 Ru 0.000 0.000 0.000
```

Summary:
ΔE to the lowest computed polymorph: 0.0 kJ/mol of formula units
formation energy: -237.3 meV/atom

***

Record 9
A plane-wave DFT calculation with PBE-GGA was carried out for CeSm4Ho5 after structural relaxation.

Geometry as CIF:
```
data_CeSm4Ho5
_symmetry_space_group_name_H-M 'I 4 m m'
_symmetry_Int_Tables_number 107
_symmetry_space_group_name_Hall 'I 4 -2'
_cell_length_a 10.529
_cell_length_b 10.529
_cell_length_c 5.938
_cell_angle_alpha 90.00
_cell_angle_beta 90.00
_cell_angle_gamma 90.00
loop_
_atom_site_label
_atom_site_type_symbol
_atom_site_fract_x
_atom_site_fract_y
_atom_site_fract_z
Ce1 Ce 0.000 0.000 0.000
Sm1 Sm 0.000 0.324 0.767
Ho1 Ho 0.000 0.000 0.536
Ho2 Ho 0.186 0.186 0.259
```

Summary:
ΔE to the lowest computed polymorph: 0.0 kJ/mol of formula units
formation energy: 253.9 meV/atom

***

Record 10
A plane-wave DFT calculation with PBE-GGA was carried out for Sr2CdAg after structural relaxation.

Geometry as CIF:
```
data_Sr2CdAg
_symmetry_space_group_name_H-M 'C 1 m 1'
_symmetry_Int_Tables_number 8
_symmetry_space_group_name_Hall 'C -2y'
_cell_length_a 8.433
_cell_length_b 4.868
_cell_length_c 7.982
_cell_angle_alpha 90.00
_cell_angle_beta 110.44
_cell_angle_gamma 90.00
loop_
_atom_site_label
_atom_site_type_symbol
_atom_site_fract_x
_atom_site_fract_y
_atom_site_fract_z
Sr1 Sr 0.000 0.000 0.000
Sr2 Sr 0.179 0.000 0.539
Cd1 Cd 0.422 0.000 0.268
Ag1 Ag 0.257 0.500 0.273
```

Summary:
formation energy: -226.2 meV/atom

***

Record 11
A plane-wave DFT calculation with PBE-GGA was carried out for HfSc3Cd after structural relaxation.

Geometry as CIF:
```
data_HfSc3Cd
_symmetry_space_group_name_H-M 'P m -3 m'
_symmetry_Int_Tables_number 221
_symmetry_space_group_name_Hall '-P 4 2 3'
_cell_length_a 5.208
_cell_length_b 5.208
_cell_length_c 5.208
_cell_angle_alpha 90.00
_cell_angle_beta 90.00
_cell_angle_gamma 90.00
loop_
_atom_site_label
_atom_site_type_symbol
_atom_site_fract_x
_atom_site_fract_y
_atom_site_fract_z
Hf1 Hf 0.000 0.000 0.000
Sc1 Sc 0.000 0.500 0.500
Cd1 Cd 0.500 0.500 0.500
```

Summary:
ΔE to the lowest computed polymorph: 433.8 kJ/mol of formula units
formation energy: 794.9 meV/atom

***

Record 12
A plane-wave DFT calculation with PBE-GGA was carried out for RbScGe after structural relaxation.

Geometry as CIF:
```
data_RbScGe
_symmetry_space_group_name_H-M 'A m m 2'
_symmetry_Int_Tables_number 38
_symmetry_space_group_name_Hall 'A 2 -2'
_cell_length_a 3.901
_cell_length_b 13.755
_cell_length_c 7.606
_cell_angle_alpha 90.00
_cell_angle_beta 90.00
_cell_angle_gamma 90.00
loop_
_atom_site_label
_atom_site_type_symbol
_atom_site_fract_x
_atom_site_fract_y
_atom_site_fract_z
Rb1 Rb 0.000 0.000 0.000
Rb2 Rb 0.500 0.000 0.500
Sc1 Sc 0.000 0.250 0.247
Ge1 Ge 0.500 0.229 0.997
```

Summary:
ΔE to the lowest computed polymorph: 64.7 kJ/mol of formula units
formation energy: -136.6 meV/atom

***

Record 13
A plane-wave DFT calculation with PBE-GGA was carried out for Pr2ZnHgO5 after structural relaxation.

Geometry as CIF:
```
data_Pr2ZnHgO5
_symmetry_space_group_name_H-M 'P 4/m b m'
_symmetry_Int_Tables_number 127
_symmetry_space_group_name_Hall '-P 4 2ab'
_cell_length_a 6.887
_cell_length_b 6.887
_cell_length_c 5.783
_cell_angle_alpha 90.00
_cell_angle_beta 90.00
_cell_angle_gamma 90.00
loop_
_atom_site_label
_atom_site_type_symbol
_atom_site_fract_x
_atom_site_fract_y
_atom_site_fract_z
Pr1 Pr 0.173 0.327 0.000
Zn1 Zn 0.000 0.500 0.500
Hg1 Hg 0.000 0.000 0.500
O1 O 0.000 0.000 0.000
O2 O 0.137 0.637 0.250
```

Summary:
ΔE_f (raw): -17.49 eV/f.u.

***

Record 14
A plane-wave DFT calculation with PBE-GGA was carried out for La3HfZn after structural relaxation.

Geometry as CIF:
```
data_La3HfZn
_symmetry_space_group_name_H-M 'P m -3 m'
_symmetry_Int_Tables_number 221
_symmetry_space_group_name_Hall '-P 4 2 3'
_cell_length_a 5.748
_cell_length_b 5.748
_cell_length_c 5.748
_cell_angle_alpha 90.00
_cell_angle_beta 90.00
_cell_angle_gamma 90.00
loop_
_atom_site_label
_atom_site_type_symbol
_atom_site_fract_x
_atom_site_fract_y
_atom_site_fract_z
La1 La 0.000 0.000 0.500
Hf1 Hf 0.000 0.000 0.000
Zn1 Zn 0.500 0.500 0.500
```

Summary:
ΔE to the lowest computed polymorph: 0.0 kJ/mol of formula units
formation energy: 606.3 meV/atom

***

Record 15
A plane-wave DFT calculation with PBE-GGA was carried out for Mg3Cd4Ag4 after structural relaxation.

Geometry as CIF:
```
data_Mg3Cd4Ag4
_symmetry_space_group_name_H-M 'P -1'
_symmetry_Int_Tables_number 2
_symmetry_space_group_name_Hall '-P 1'
_cell_length_a 3.039
_cell_length_b 4.649
_cell_length_c 15.674
_cell_angle_alpha 81.49
_cell_angle_beta 87.60
_cell_angle_gamma 89.84
loop_
_atom_site_label
_atom_site_type_symbol
_atom_site_fract_x
_atom_site_fract_y
_atom_site_fract_z
Mg1 Mg 0.000 0.000 0.000
Mg2 Mg 0.194 0.639 0.719
Cd1 Cd 0.254 0.268 0.465
Cd2 Cd 0.276 0.913 0.177
Ag1 Ag 0.304 0.822 0.358
Ag2 Ag 0.355 0.543 0.912
```

Summary:
ΔE to the lowest computed polymorph: 36.5 kJ/mol of formula units
formation energy: -99.7 meV/atom

***

Record 16
A plane-wave DFT calculation with PBE-GGA was carried out for LaTbTlHg after structural relaxation.

Geometry as CIF:
```
data_LaTbTlHg
_symmetry_space_group_name_H-M 'F -4 3 m'
_symmetry_Int_Tables_number 216
_symmetry_space_group_name_Hall 'F -4 2 3'
_cell_length_a 7.743
_cell_length_b 7.743
_cell_length_c 7.743
_cell_angle_alpha 90.00
_cell_angle_beta 90.00
_cell_angle_gamma 90.00
loop_
_atom_site_label
_atom_site_type_symbol
_atom_site_fract_x
_atom_site_fract_y
_atom_site_fract_z
La1 La 0.000 0.000 0.000
Tb1 Tb 0.000 0.000 0.500
Tl1 Tl 0.250 0.250 0.250
Hg1 Hg 0.250 0.250 0.750
```

Summary:
formation energy: -431.0 meV/atom

***

Record 17
A plane-wave DFT calculation with PBE-GGA was carried out for VNiS after structural relaxation.

Geometry as CIF:
```
data_VNiS
_symmetry_space_group_name_H-M 'C m c m'
_symmetry_Int_Tables_number 63
_symmetry_space_group_name_Hall '-C 2c 2'
_cell_length_a 3.857
_cell_length_b 15.129
_cell_length_c 3.494
_cell_angle_alpha 90.00
_cell_angle_beta 90.00
_cell_angle_gamma 90.00
loop_
_atom_site_label
_atom_site_type_symbol
_atom_site_fract_x
_atom_site_fract_y
_atom_site_fract_z
V1 V 0.000 0.061 0.250
Ni1 Ni 0.000 0.443 0.250
S1 S 0.000 0.351 0.750
```

Summary:
ΔE to the lowest computed polymorph: 0.0 kJ/mol of formula units
ΔE_f (raw): -1.39 eV/f.u.